DFT (GGA-PBE) results for CaSeBr3 after structural relaxation.

Results
Fermi-level density of states in states/eV per atom: 0.34
Crystal system: cubic
E_form (uncorrected) in kJ per mole of atoms: -66.3

a = 5.682 Å, b = 5.682 Å, c = 5.682 Å
α = 90.00°, β = 90.00°, γ = 90.00°
Space group Pm-3m (No. 221)
Symmetry-distinct sites (fractional):
Ca 0.000 0.000 0.000 x1
Se 0.500 0.500 0.500 x1
Br 0.000 0.000 0.500 x3

DFT (GGA-PBE) results for Ca2TaTl after structural relaxation.

Results
Fermi-level density of states in states/eV per atom: 1.28
Energy above the lowest structure with this stoichiometry in meV/atom: 89.9
Crystal system: orthorhombic

a = 3.339 Å, b = 3.998 Å, c = 8.493 Å
α = 90.00°, β = 90.00°, γ = 90.00°
Space group Pmm2 (No. 25)
Symmetry-distinct sites (fractional):
Ca 0.000 0.000 0.000 x1
Ca 0.500 0.500 0.355 x1
Ta 0.000 0.000 0.593 x1
Tl 0.500 0.500 0.764 x1

DFT (GGA-PBE) results for SmPdPt4 after structural relaxation.

Results
Fermi-level density of states in states/eV per atom: 0.70
Crystal system: cubic

a = 7.573 Å, b = 7.573 Å, c = 7.573 Å
α = 90.00°, β = 90.00°, γ = 90.00°
Space group F-43m (No. 216)
Symmetry-distinct sites (fractional):
Sm 0.000 0.000 0.000 x4
Pd 0.250 0.250 0.750 x4
Pt 0.125 0.125 0.375 x16

DFT (GGA-PBE) results for LaScTa2 after structural relaxation.

Results
Fermi-level density of states in states/eV per atom: 1.56
Energy above the lowest structure with this stoichiometry in meV/atom: 0.0
Crystal system: tetragonal

a = 3.489 Å, b = 3.489 Å, c = 7.929 Å
α = 90.00°, β = 90.00°, γ = 90.00°
Space group P4mm (No. 99)
Symmetry-distinct sites (fractional):
La 0.000 0.000 0.000 x1
Sc 0.500 0.500 0.335 x1
Ta 0.000 0.000 0.557 x1
Ta 0.500 0.500 0.720 x1

DFT (GGA-PBE) results for ZrTa2Pt after structural relaxation.

Results
Fermi-level density of states in states/eV per atom: 1.02
Crystal system: tetragonal

a = 2.888 Å, b = 2.888 Å, c = 8.874 Å
α = 90.00°, β = 90.00°, γ = 90.00°
Space group P4/mmm (No. 123)
Symmetry-distinct sites (fractional):
Zr 0.000 0.000 0.000 x1
Ta 0.500 0.500 0.273 x2
Pt 0.000 0.000 0.500 x1

DFT (GGA-PBE) results for Gd2InTe after structural relaxation.

Results
Fermi-level density of states in states/eV per atom: 1.19
Energy above the lowest structure with this stoichiometry in meV/atom: 0.0
Crystal system: trigonal
E_form (uncorrected) in kJ per mole of atoms: -82.9

a = 4.1942 Å, b = 4.1942 Å, c = 24.0291 Å
α = 90.00°, β = 90.00°, γ = 120.00°
Space group R-3m (No. 166, hexagonal axes)
Symmetry-distinct sites (fractional):
Gd 0.0000 0.0000 0.2480 x6
In 0.0000 0.0000 0.0000 x3
Te 0.0000 0.0000 0.5000 x3

DFT (GGA-PBE) results for BaZnSn2S6 after structural relaxation.

Results
Crystal system: monoclinic
E_form (uncorrected) in kJ per mole of atoms: -74.1

a = 14.204 Å, b = 12.077 Å, c = 7.025 Å
α = 90.00°, β = 116.04°, γ = 90.00°
Space group C2/c (No. 15)
Symmetry-distinct sites (fractional):
Ba 0.000 0.191 0.250 x4
Zn 0.000 0.349 0.750 x4
Sn 0.234 0.102 0.893 x8
S 0.095 0.419 0.092 x8
S 0.130 0.021 0.058 x8
S 0.152 0.275 0.718 x8

DFT (GGA-PBE) results for PmDy3H8 after structural relaxation.

Results
Fermi-level density of states in states/eV per atom: 0.19
Crystal system: cubic

a = 5.235 Å, b = 5.235 Å, c = 5.235 Å
α = 90.00°, β = 90.00°, γ = 90.00°
Space group Pm-3m (No. 221)
Symmetry-distinct sites (fractional):
Pm 0.000 0.000 0.000 x1
Dy 0.000 0.500 0.500 x3
H 0.256 0.256 0.256 x8

Number 1: total DFT energy (no corrections) -2.7879 eV per atom. Number 2: total DFT energy (no corrections) -4.1213 eV per atom. Number 3: total DFT energy (no corrections) -6.3617 eV per atom. Number 4: total DFT energy (no corrections) -8.5341 eV per atom. Number 5: total DFT energy (no corrections) -9.7996 eV per atom. Number 6: total DFT energy (no corrections) -9.3694 eV per atom. Number 7: total DFT energy (no corrections) -4.3652 eV per atom. Number 8: total DFT energy (no corrections) -4.4870 eV per atom.